Run w
A relaxed Co2Te crystal. Source: Alexandria, functional PBEsol.

Unit cell a=3.5643 b=3.5643 c=14.3539 alpha=90.00 beta=90.00 gamma=90.00
Space group I4_1/amd (No. 141, origin choice 2)
Inequivalent atoms, fractional coordinates:
Co1 0.0000 0.2500 0.2959
Te1 0.0000 0.2500 0.8750

Its density is 8.94 g/cm³.



Run x
A relaxed Co2Te crystal. Source: Alexandria, functional PBEsol.

Unit cell a=4.8438 b=4.8438 c=7.4822 alpha=90.00 beta=90.00 gamma=90.00
Space group I4/mcm (No. 140)
Inequivalent atoms, fractional coordinates:
Co1 0.1753 0.3247 0.0000
Te1 0.0000 0.0000 0.2500

Its density is 9.29 g/cm³.



Taking the most stable structure as the zero point, the relative energies in meV per atom are run w 181; run x 0.



Run w
A relaxed CoTe2W crystal. Source: Alexandria, functional PBEsol.

Unit cell a=3.3009 b=3.3009 c=22.8377 alpha=90.00 beta=90.00 gamma=120.00
Space group R-3m (No. 166, hexagonal axes)
Inequivalent atoms, fractional coordinates:
Co1 0.0000 0.0000 0.0000
Te1 0.0000 0.0000 0.2546
W1 0.0000 0.0000 0.5000

Its density is 11.51 g/cm³.



Run x
A relaxed CoTe2W crystal. Source: Alexandria, functional PBEsol.

Unit cell a=3.8251 b=3.8251 c=20.0636 alpha=90.00 beta=90.00 gamma=120.00
Space group R3m (No. 160, hexagonal axes)
Inequivalent atoms, fractional coordinates:
Co1 0.0000 0.0000 0.0000
Te1 0.0000 0.0000 0.2730
Te2 0.0000 0.0000 0.4626
W1 0.0000 0.0000 0.7093

Its density is 9.76 g/cm³.



Taking the most stable structure as the zero point, the relative energies in meV per atom are run w 391; run x 0.



Run w
A relaxed ZnCoTe crystal. Source: Alexandria, functional PBEsol.

Unit cell a=5.8404 b=5.8404 c=5.8404 alpha=90.00 beta=90.00 gamma=90.00
Space group F-43m (No. 216)
Inequivalent atoms, fractional coordinates:
Zn1 0.0000 0.0000 0.0000
Co1 0.2500 0.2500 0.7500
Te1 0.0000 0.0000 0.5000

Its density is 8.40 g/cm³.



Run x
A relaxed ZnCoTe crystal. Source: Alexandria, functional PBEsol.

Unit cell a=3.0183 b=3.0183 c=11.4724 alpha=90.00 beta=90.00 gamma=90.00
Space group I4mm (No. 107)
Inequivalent atoms, fractional coordinates:
Zn1 0.0000 0.0000 0.0000
Co1 0.0000 0.0000 0.6251
Te1 0.0000 0.0000 0.2555

Its density is 8.01 g/cm³.



Taking the most stable structure as the zero point, the relative energies in meV per atom are run w 0; run x 326.